Below is a relaxed structure of Pa2PdAu, with properties calculated at the PBE level.

Lattice parameters (Å, degrees): 3.164 3.164 8.588 90.00 90.00 90.00
Positions (direct):
Pa 0.000 0.000 0.240
Pa 0.000 0.000 0.760
Pd 0.500 0.500 0.000
Au 0.500 0.500 0.500

Properties
Polymorph energy (0 for the lowest one), meV/atom: 0.0
Energy of formation from the pure elements, eV per atom: -0.338
Density, g/cm3: 14.79